# SrLa2ThAs4

Crystalline SrLa2ThAs4 at its relaxed geometry (PBE-GGA, Alexandria via LeMat-Bulk).

Unit cell a=7.551 b=4.374 c=7.570 alpha=90.00 beta=109.18 gamma=90.00
Space group P2/m (No. 10)
Inequivalent atoms, fractional coordinates:
Sr 0.000 0.000 0.000
La 0.500 0.000 0.500
La 0.500 0.500 0.000
Th 0.000 0.500 0.500
As 0.245 0.000 0.740
As 0.252 0.500 0.263

Calculated values
**Crystal system**: monoclinic
**Formation enthalpy at 0 K**: -1439.1 meV/atom
**Total energy**: -49.068 eV/cell

# Sr2LaThAs4

Crystalline Sr2LaThAs4 at its relaxed geometry (PBE-GGA, Alexandria via LeMat-Bulk).

Unit cell a=7.647 b=4.402 c=7.648 alpha=90.00 beta=109.44 gamma=90.00
Space group P2/m (No. 10)
Inequivalent atoms, fractional coordinates:
Sr 0.000 0.000 0.000
Sr 0.000 0.500 0.500
La 0.500 0.000 0.500
Th 0.500 0.500 0.000
As 0.269 0.500 0.250
As 0.271 0.000 0.763

Calculated values
**Crystal system**: monoclinic
**Formation enthalpy at 0 K**: -1281.5 meV/atom
**Total energy**: -44.561 eV/cell

# SrLa2TmAs4

Crystalline SrLa2TmAs4 at its relaxed geometry (PBE-GGA, Alexandria via LeMat-Bulk).

Unit cell a=7.402 b=4.332 c=7.549 alpha=90.00 beta=109.58 gamma=90.00
Space group P2/m (No. 10)
Inequivalent atoms, fractional coordinates:
Sr 0.000 0.000 0.000
La 0.500 0.000 0.500
La 0.500 0.500 0.000
Tm 0.000 0.500 0.500
As 0.241 0.000 0.736
As 0.250 0.500 0.263

Calculated values
**Crystal system**: monoclinic
**Formation enthalpy at 0 K**: -1340.3 meV/atom
**Total energy**: -45.329 eV/cell

# Sr2LaUAs4

Crystalline Sr2LaUAs4 at its relaxed geometry (PBE-GGA, Alexandria via LeMat-Bulk).

Unit cell a=7.523 b=4.351 c=7.561 alpha=90.00 beta=109.29 gamma=90.00
Space group P2/m (No. 10)
Inequivalent atoms, fractional coordinates:
Sr 0.000 0.000 0.000
Sr 0.500 0.500 0.000
La 0.000 0.500 0.500
U 0.500 0.000 0.500
As 0.262 0.000 0.722
As 0.277 0.500 0.284

Calculated values
**Crystal system**: monoclinic
**Formation enthalpy at 0 K**: -1150.5 meV/atom
**Total energy**: -47.382 eV/cell

# SrLa2UAs4

Crystalline SrLa2UAs4 at its relaxed geometry (PBE-GGA, Alexandria via LeMat-Bulk).

Unit cell a=7.459 b=4.316 c=7.491 alpha=90.00 beta=109.10 gamma=90.00
Space group P2/m (No. 10)
Inequivalent atoms, fractional coordinates:
Sr 0.000 0.000 0.000
La 0.500 0.000 0.500
La 0.500 0.500 0.000
U 0.000 0.500 0.500
As 0.237 0.000 0.732
As 0.244 0.500 0.269

Calculated values
**Crystal system**: monoclinic
**Formation enthalpy at 0 K**: -1221.1 meV/atom
**Total energy**: -51.192 eV/cell

# SrLa2ZrAs

Crystalline SrLa2ZrAs at its relaxed geometry (PBE-GGA, Alexandria via LeMat-Bulk).

Unit cell a=5.700 b=5.700 c=5.420 alpha=90.00 beta=90.00 gamma=90.00
Space group P4/mmm (No. 123)
Inequivalent atoms, fractional coordinates:
Sr 0.000 0.000 0.000
La 0.000 0.500 0.000
Zr 0.500 0.500 0.500
As 0.000 0.000 0.500

Calculated values
**Crystal system**: tetragonal
**Formation enthalpy at 0 K**: 1112.6 meV/atom
**Total energy**: -19.171 eV/cell

# La2TaAs

Crystalline La2TaAs at its relaxed geometry (PBE-GGA, Alexandria via LeMat-Bulk).

Unit cell a=3.510 b=3.510 c=8.772 alpha=90.00 beta=90.00 gamma=90.00
Space group P4mm (No. 99)
Inequivalent atoms, fractional coordinates:
La 0.000 0.000 0.000
La 0.500 0.500 0.391
Ta 0.000 0.000 0.643
As 0.500 0.500 0.768

Calculated values
**Crystal system**: tetragonal
**Formation enthalpy at 0 K**: -278.6 meV/atom
**Total energy**: -27.472 eV/cell

# La2Ta2As

Crystalline La2Ta2As at its relaxed geometry (PBE-GGA, Alexandria via LeMat-Bulk).

Unit cell a=7.030 b=7.030 c=4.901 alpha=90.00 beta=90.00 gamma=90.00
Space group P4/mbm (No. 127)
Inequivalent atoms, fractional coordinates:
La 0.177 0.323 0.000
Ta 0.135 0.635 0.500
As 0.000 0.000 0.500

Calculated values
**Crystal system**: tetragonal
**Formation enthalpy at 0 K**: 41.8 meV/atom
**Total energy**: -76.002 eV/cell
**Energy relative to the lowest polymorph listed for this composition**: 0.00 kJ/mol of atoms